(1)
First-principles (GGA-PBEsol) data for Sc3CoC4 after structural relaxation, as listed in Alexandria.

a b c (Å): 6.5254 6.5254 6.5254
angles (deg): 149.80 141.55 49.66
Last column: nearest neighbours and their distance in Å.
Positions (direct):
Sc (0.0000, 0.0000, 0.0000)  8 C 2.35
Sc (0.3116, 0.8116, 0.5000)  6 C 2.35
Sc (0.6884, 0.1884, 0.5000)  6 C 2.35
Co (0.5000, 0.5000, 0.0000)  4 C 2.03
C (0.0463, 0.3773, 0.6690)  1 C 1.45
C (0.2916, 0.6227, 0.6690)  1 C 1.45
C (0.7084, 0.3773, 0.3310)  1 C 1.45
C (0.9537, 0.6227, 0.3310)  1 C 1.45

Calculated values
Formation energy from the elements in meV/atom: -527
V in Å³/atom: 10.82

(2)
First-principles (GGA-PBEsol) data for Sr2GeO4 after structural relaxation, as listed in Alexandria.

a b c (Å): 14.2451 5.8564 9.9059
angles (deg): 90.00 90.00 90.00
Last column: nearest neighbours and their distance in Å.
Positions (direct):
Sr (0.0445, 0.2228, 0.0000)  5 O 2.41-2.65
Sr (0.1204, 0.2009, 0.6349)  7 O 2.50-2.72
Sr (0.1289, 0.7278, 0.2280)  6 O 2.44-2.62
Sr (0.2035, 0.7059, 0.8601)  5 O 2.41-2.69
Sr (0.2965, 0.2059, 0.3601)  5 O 2.41-2.69
Sr (0.3711, 0.2278, 0.7280)  6 O 2.44-2.62
Sr (0.3796, 0.7009, 0.1349)  7 O 2.50-2.72
Sr (0.4555, 0.7228, 0.5000)  5 O 2.41-2.65
Sr (0.5445, 0.2772, 0.0000)  5 O 2.41-2.65
Sr (0.6204, 0.2991, 0.6349)  7 O 2.50-2.72
Sr (0.6289, 0.7722, 0.2280)  6 O 2.44-2.62
Sr (0.7035, 0.7941, 0.8601)  5 O 2.41-2.69
Sr (0.7965, 0.2941, 0.3601)  5 O 2.41-2.69
Sr (0.8711, 0.2722, 0.7280)  6 O 2.44-2.62
Sr (0.8796, 0.7991, 0.1349)  7 O 2.50-2.72
Sr (0.9555, 0.7772, 0.5000)  5 O 2.41-2.65
Ge (0.0211, 0.2737, 0.3478)  4 O 1.75-1.78
Ge (0.2353, 0.7157, 0.5146)  4 O 1.75-1.79
Ge (0.2647, 0.2157, 0.0146)  4 O 1.75-1.79
Ge (0.4789, 0.7737, 0.8478)  4 O 1.75-1.78
Ge (0.5211, 0.2263, 0.3478)  4 O 1.75-1.78
Ge (0.7353, 0.7843, 0.5146)  4 O 1.75-1.79
Ge (0.7647, 0.2843, 0.0146)  4 O 1.75-1.79
Ge (0.9789, 0.7263, 0.8478)  4 O 1.75-1.78
O (0.0067, 0.0478, 0.2336)  1 Ge 1.75
O (0.0301, 0.4740, 0.7795)  1 Ge 1.78
O (0.0441, 0.7882, 0.9965)  1 Ge 1.78
O (0.1232, 0.8248, 0.4798)  1 Ge 1.75
O (0.1373, 0.3366, 0.3912)  1 Ge 1.75
O (0.2014, 0.1393, 0.8652)  1 Ge 1.79
O (0.2023, 0.4630, 0.0702)  1 Ge 1.79
O (0.2465, 0.5052, 0.6409)  1 Ge 1.76
O (0.2535, 0.0052, 0.1409)  1 Ge 1.76
O (0.2977, 0.9630, 0.5702)  1 Ge 1.79
O (0.2986, 0.6393, 0.3652)  1 Ge 1.79
O (0.3627, 0.8366, 0.8912)  1 Ge 1.75
O (0.3768, 0.3248, 0.9798)  1 Ge 1.75
O (0.4559, 0.2882, 0.4965)  1 Ge 1.78
O (0.4699, 0.9740, 0.2795)  1 Ge 1.78
O (0.4933, 0.5478, 0.7336)  1 Ge 1.75
O (0.5067, 0.4522, 0.2336)  1 Ge 1.75
O (0.5301, 0.0260, 0.7795)  1 Ge 1.78
O (0.5441, 0.7118, 0.9965)  1 Ge 1.78
O (0.6232, 0.6752, 0.4798)  1 Ge 1.75
O (0.6373, 0.1634, 0.3912)  1 Ge 1.75
O (0.7014, 0.3607, 0.8652)  1 Ge 1.79
O (0.7023, 0.0370, 0.0702)  1 Ge 1.79
O (0.7465, 0.9948, 0.6409)  1 Ge 1.76
O (0.7535, 0.4948, 0.1409)  1 Ge 1.76
O (0.7977, 0.5370, 0.5702)  1 Ge 1.79
O (0.7986, 0.8607, 0.3652)  1 Ge 1.79
O (0.8627, 0.6634, 0.8912)  1 Ge 1.75
O (0.8768, 0.1752, 0.9798)  1 Ge 1.75
O (0.9559, 0.2118, 0.4965)  1 Ge 1.78
O (0.9699, 0.5260, 0.2795)  1 Ge 1.78
O (0.9933, 0.9522, 0.7336)  1 Ge 1.75

Calculated values
DFT total energy in Ha/atom: -0.249
V in Å³/atom: 14.76

(3)
First-principles (GGA-PBEsol) data for AgSe2Cl after structural relaxation, as listed in Alexandria.

a b c (Å): 3.6415 3.6415 6.4300
angles (deg): 90.00 90.00 90.00
Last column: nearest neighbours and their distance in Å.
Positions (direct):
Ag (0.0000, 0.0000, 0.0000)  8 Se 2.83
Se (0.5000, 0.5000, 0.1833)  1 Se 2.36
Se (0.5000, 0.5000, 0.8167)  1 Se 2.36
Cl (0.0000, 0.0000, 0.5000)  2 Ag 3.22, 8 Se 3.28

Calculated values
DFT total energy in Ha/atom: -0.113
V in Å³/atom: 21.32